VASP calculation (PBE+U) on MnTc2PbO8 after structural relaxation.

Lattice parameters (Å, degrees): 5.866 5.866 6.923 90.00 90.00 120.00
Element x y z (fractional)
Mn 0.000 0.000 0.000
Tc 0.333 0.667 0.271
Tc 0.667 0.333 0.729
Pb 0.000 0.000 0.500
O 0.162 0.324 0.203
O 0.162 0.838 0.203
O 0.324 0.162 0.797
O 0.333 0.667 0.525
O 0.667 0.333 0.475
O 0.676 0.838 0.203
O 0.838 0.162 0.797
O 0.838 0.676 0.797

Properties
**Uncorrected energy**: -87.8 eV per cell
**V**: 17.19 A^3/atom
**D(E_F)**: 7.61 states/eV per cell
**Density**: 4.72 g cm⁻³